Density functional theory data (GGA-PBE) for crystalline Ni2SnHSe at its relaxed geometry.

Results
Final energy: -0.2821 Ry/atom
Magnetization: 0.00 μB per formula unit
Space-group type: P4/mmm, No. 123

abc: 4.8035 3.5836 4.8035
angles: 90.00 90.00 90.00
Last column: nearest neighbours and their distance in Å.
Element x y z (fractional)
1 Ni 0.0000 0.0000 0.5000  2 Sn 2.40
2 Ni 0.5000 0.0000 0.0000  2 Sn 2.40
3 Sn 0.0000 0.0000 0.0000  2 H 1.79
4 Se 0.5000 0.5000 0.5000  8 Ni 3.00
5 H 0.0000 0.5000 0.0000  2 Sn 1.79

---

Density functional theory data (GGA-PBE) for crystalline TlNi2HSe at its relaxed geometry.

Results
Final energy: -0.1882 Ry/atom
Magnetization: 2.09 μB per formula unit
Space-group type: P4/mmm, No. 123

abc: 4.9854 5.3637 4.9854
angles: 90.00 90.00 90.00
Last column: nearest neighbours and their distance in Å.
Element x y z (fractional)
1 Ni 0.0000 0.0000 0.5000  2 Tl 2.49
2 Ni 0.5000 0.0000 0.0000  2 Tl 2.49
3 Tl 0.0000 0.0000 0.0000  4 Ni 2.49, 2 Se 2.68
4 Se 0.0000 0.5000 0.0000  2 Tl 2.68
5 H 0.5000 0.5000 0.5000  4 Se 3.53, 8 Ni 3.66

---

Density functional theory data (GGA-PBE) for crystalline NiHWSe2 at its relaxed geometry.

Results
Final energy: -0.3863 Ry/atom
Magnetization: 0.00 μB per formula unit
Space-group type: P4/mmm, No. 123

abc: 4.5214 3.1948 4.5214
angles: 90.00 90.00 90.00
Last column: nearest neighbours and their distance in Å.
Element x y z (fractional)
1 Ni 0.0000 0.5000 0.0000  2 H 1.60
2 Se 0.0000 0.0000 0.5000  2 H 2.26
3 Se 0.5000 0.0000 0.0000  2 H 2.26
4 W 0.5000 0.5000 0.5000  8 Se 2.77
5 H 0.0000 0.0000 0.0000  2 Ni 1.60

---

Density functional theory data (GGA-PBE) for crystalline SiNi5H at its relaxed geometry.

Results
Magnetization: 0.00 μB per formula unit
E above lowest polymorph: 9.8 kJ per mole of atoms
Space-group type: C2/c, No. 15

abc: 5.4159 5.4159 6.7816
angles: 63.27 63.27 69.91
Last column: nearest neighbours and their distance in Å.
Element x y z (fractional)
1 Si 0.6142 0.3858 0.2500  7 Ni 2.20-2.29
2 Si 0.3858 0.6142 0.7500  7 Ni 2.20-2.29
3 Ni 0.7404 0.7760 0.1796  1 H 1.80
4 Ni 0.2670 0.6547 0.4580  1 H 1.98
5 Ni 0.7760 0.7404 0.6796  1 H 1.80
6 Ni 0.9689 0.0311 0.2500  2 H 1.71
7 Ni 0.3453 0.7330 0.0420  1 H 1.98
8 Ni 0.6547 0.2670 0.9580  1 H 1.98
9 Ni 0.0311 0.9689 0.7500  2 H 1.71
10 Ni 0.2240 0.2596 0.3204  1 H 1.80
11 Ni 0.7330 0.3453 0.5420  1 H 1.98
12 Ni 0.2596 0.2240 0.8204  1 H 1.80
13 H 0.0000 0.0000 0.0000  4 Ni 1.71-1.80
14 H 0.0000 0.0000 0.5000  4 Ni 1.71-1.80